[1]
Compound: ZnHPd2S
Source: the Alexandria database
Functional: PBE
Structure: relaxed

Cell: 4.835 4.835 3.111 Å, 90.00 90.00 90.00°
Sites, in units of the cell vectors:
Zn: 0.000 0.000 0.000
H: 0.000 0.000 0.500
Pd: 0.000 0.500 0.000
Pd: 0.500 0.000 0.000
S: 0.500 0.500 0.500

Values from the calculation:
DOS at the Fermi energy, states/eV per cell: 2.353
Space group: P4/mmm, No. 123
Mass density, g/cm3: 7.11
Total DFT energy (no corrections), eV per atom: -3.45

***

[2]
Compound: LiPuPtRh
Source: the Alexandria database
Functional: PBE
Structure: relaxed

Cell: 4.621 4.621 4.621 Å, 60.00 60.00 60.00°
Sites, in units of the cell vectors:
Li: 0.000 0.000 0.000
Pu: 0.500 0.500 0.500
Pt: 0.750 0.750 0.750
Rh: 0.250 0.250 0.250

Values from the calculation:
DOS at the Fermi energy, states/eV per cell: 6.400
Energy above the lowest structure with this stoichiometry, eV per formula unit: 0.18
Space group: F-43m, No. 216
E_form, eV/atom: -0.5123
Mass density, g/cm3: 13.06

***

The records above give, respectively, M_tot values of 0.0, 4.4 μB/f.u..